[1]
Here is an optimized crystal structure of Tm2HfPaC4 from the Alexandria database. Energies are from PBE.

Lattice parameters (Å, degrees): 6.0409 3.4871 6.0530 90.00 109.87 90.00
Space group P2/m (No. 10)
One atom of each set of equivalent atoms:
Tm1 0.0000 0.0000 0.0000 [1 per cell]
Tm2 0.0000 0.5000 0.5000 [1 per cell]
Hf1 0.5000 0.0000 0.5000 [1 per cell]
Pa1 0.5000 0.5000 0.0000 [1 per cell]
C1 0.2673 0.5000 0.2611 [2 per cell]
C2 0.2710 0.0000 0.7508 [2 per cell]

Values from the calculation:
energy of formation from the pure elements	-465	meV per atom
DOS at the Fermi energy	0.8973	states/eV per atom



[2]
Here is an optimized crystal structure of PaInAg2O8 from the Alexandria database. Energies are from PBE.

Lattice parameters (Å, degrees): 7.1758 7.1758 6.9130 90.00 90.00 90.00
Space group I-4m2 (No. 119)
One atom of each set of equivalent atoms:
Pa1 0.0000 0.0000 0.0000 [2 per cell]
In1 0.0000 0.5000 0.2500 [2 per cell]
Ag1 0.0000 0.0000 0.5000 [2 per cell]
Ag2 0.0000 0.5000 0.7500 [2 per cell]
O1 0.0000 0.1824 0.2684 [8 per cell]
O2 0.0000 0.3172 0.9854 [8 per cell]

Values from the calculation:
DOS at the Fermi energy	0.5157	states/eV per atom



[3]
Here is an optimized crystal structure of Li4Mg2Sn from the Alexandria database. Energies are from PBE.

Lattice parameters (Å, degrees): 4.9491 4.9491 14.9410 90.00 90.00 90.00
Space group I4/mmm (No. 139)
One atom of each set of equivalent atoms:
Li1 0.0000 0.0000 0.1842 [4 per cell]
Li2 0.0000 0.5000 0.0000 [4 per cell]
Mg1 0.0000 0.0000 0.3861 [4 per cell]
Sn1 0.0000 0.0000 0.0000 [2 per cell]

Values from the calculation:
energy of formation from the pure elements	110	meV per atom
DOS at the Fermi energy	0.3934	states/eV per atom
ΔE to the lowest computed polymorph	203	kJ/mol of formula units



[4]
Here is an optimized crystal structure of LiMoAsBr2 from the Alexandria database. Energies are from PBE.

Lattice parameters (Å, degrees): 5.4118 5.4118 4.8496 90.00 90.00 90.00
Space group P4/mmm (No. 123)
One atom of each set of equivalent atoms:
Li1 0.0000 0.0000 0.0000 [1 per cell]
Mo1 0.5000 0.5000 0.5000 [1 per cell]
As1 0.5000 0.5000 0.0000 [1 per cell]
Br1 0.0000 0.5000 0.5000 [2 per cell]

Values from the calculation:
DOS at the Fermi energy	0.4983	states/eV per atom
ΔE to the lowest computed polymorph	0	kJ/mol of formula units



[5]
Here is an optimized crystal structure of Ag2HgPt from the Alexandria database. Energies are from PBE.

Lattice parameters (Å, degrees): 2.9303 2.9303 8.5159 90.00 90.00 90.00
Space group P4/mmm (No. 123)
One atom of each set of equivalent atoms:
Ag1 0.0000 0.0000 0.2329 [2 per cell]
Hg1 0.5000 0.5000 0.5000 [1 per cell]
Pt1 0.5000 0.5000 0.0000 [1 per cell]

Values from the calculation:
energy of formation from the pure elements	73	meV per atom
DOS at the Fermi energy	0.3647	states/eV per atom



[6]
Here is an optimized crystal structure of SrHfUS6 from the Alexandria database. Energies are from PBE.

Lattice parameters (Å, degrees): 6.6163 6.6163 12.9173 90.00 90.00 120.00
Space group P-31c (No. 163)
One atom of each set of equivalent atoms:
Sr1 0.0000 0.0000 0.0000 [2 per cell]
Hf1 0.3333 0.6667 0.2500 [2 per cell]
U1 0.3333 0.6667 0.7500 [2 per cell]
S1 0.0018 0.3749 0.1364 [12 per cell]



[7]
Here is an optimized crystal structure of Ca8PtAu2 from the Alexandria database. Energies are from PBE.

Lattice parameters (Å, degrees): 18.7768 5.1034 7.1687 90.00 105.89 90.00
Space group C2/m (No. 12)
One atom of each set of equivalent atoms:
Ca1 0.0323 0.0000 0.3026 [4 per cell]
Ca2 0.0908 0.5000 0.9294 [4 per cell]
Ca3 0.1608 0.5000 0.4656 [4 per cell]
Ca4 0.2110 0.0000 0.8182 [4 per cell]
Pt1 0.0000 0.5000 0.5000 [2 per cell]
Au1 0.1860 0.0000 0.2148 [4 per cell]

Values from the calculation:
energy of formation from the pure elements	-510	meV per atom
DOS at the Fermi energy	1.0184	states/eV per atom
ΔE to the lowest computed polymorph	17	kJ/mol of formula units



[8]
Here is an optimized crystal structure of Pm2PrSm5Ho from the Alexandria database. Energies are from PBE.

Lattice parameters (Å, degrees): 8.8736 8.8736 15.6685 90.00 90.00 90.00
Space group I4/mcm (No. 140)
One atom of each set of equivalent atoms:
Pm1 0.1165 0.3835 0.0000 [8 per cell]
Pr1 0.0000 0.0000 0.2500 [4 per cell]
Sm1 0.0000 0.0000 0.0000 [4 per cell]
Sm2 0.2088 0.2912 0.3627 [16 per cell]
Ho1 0.0000 0.5000 0.2500 [4 per cell]

Values from the calculation:
energy of formation from the pure elements	272	meV per atom
DOS at the Fermi energy	1.3775	states/eV per atom



| no. | calculated total energy (eV per atom) | calculated volume (Å³ per cell) |
| --- | --- | --- |
| 1 | -8.626 | 119.9 |
| 2 | -5.795 | 356.0 |
| 3 | -2.011 | 366.0 |
| 4 | -4.224 | 142.0 |
| 5 | -2.938 | 73.1 |
| 6 | -6.795 | 489.7 |
| 7 | -3.110 | 660.7 |
| 8 | -4.446 | 1233.7 |